Entry 1:
Computed, not measured: a relaxed SrGa2SiPt crystal at the PBE level of DFT.

Results
total energy	-4.45	eV per atom
formation energy without anion corrections	-0.6052	eV/atom

Lattice parameters (Å, degrees): 4.2654 4.3106 10.7593 90.00 90.00 90.00
Space group Imm2 (No. 44)
Symmetry-distinct sites (fractional):
Sr1 0.0000 0.0000 0.0000 (multiplicity 2)
Ga1 0.0000 0.0000 0.3854 (multiplicity 2)
Ga2 0.0000 0.5000 0.2514 (multiplicity 2)
Si1 0.0000 0.0000 0.6234 (multiplicity 2)
Pt1 0.0000 0.5000 0.7398 (multiplicity 2)

Entry 2:
Computed, not measured: a relaxed Sr2GaSiPt6 crystal at the PBE level of DFT.

Results
total energy	-5.57	eV per atom
formation energy without anion corrections	-0.7668	eV/atom

Lattice parameters (Å, degrees): 6.6404 6.6573 6.7238 60.45 60.45 60.15
Space group P-1 (No. 2)
Symmetry-distinct sites (fractional):
Sr1 0.2106 0.2099 0.3685 (multiplicity 2)
Ga1 0.5000 0.5000 0.5000 (multiplicity 1)
Si1 0.0000 0.0000 0.0000 (multiplicity 1)
Pt1 0.2432 0.2445 0.8581 (multiplicity 2)
Pt2 0.2438 0.6542 0.8583 (multiplicity 2)
Pt3 0.3460 0.7563 0.1417 (multiplicity 2)